The following is a DFT calculation (PBE-GGA) of a geometry-optimized CrP2Pb structure.

Electronic total energy = -0.217 Ha/atom
Calculated density = 6.14 Mg/m³
DOS at the Fermi energy = 2.099 states/eV/cell

Unit cell a=4.7165 b=3.8706 c=4.7975 alpha=90.00 beta=97.11 gamma=90.00
Fractional coordinates of all 4 atoms:
Cr: 0.0000 0.0000 0.0000
P: 0.0802 0.5000 0.7241
P: 0.9198 0.5000 0.2759
Pb: 0.5000 0.0000 0.5000

=====

The following is a DFT calculation (PBE-GGA) of a geometry-optimized CrPPb2 structure.

Electronic total energy = -0.186 Ha/atom
Calculated density = 8.50 Mg/m³
DOS at the Fermi energy = 8.691 states/eV/cell

Unit cell a=3.8596 b=3.8596 c=22.6038 alpha=90.00 beta=90.00 gamma=120.00
Fractional coordinates of all 12 atoms:
Cr: 0.0000 0.0000 0.0000
Cr: 0.3333 0.6667 0.6667
Cr: 0.6667 0.3333 0.3333
P: 0.0000 0.0000 0.5000
P: 0.3333 0.6667 0.1667
P: 0.6667 0.3333 0.8333
Pb: 0.0000 0.0000 0.2446
Pb: 0.0000 0.0000 0.7554
Pb: 0.3333 0.6667 0.4221
Pb: 0.3333 0.6667 0.9113
Pb: 0.6667 0.3333 0.0887
Pb: 0.6667 0.3333 0.5779

=====

The following is a DFT calculation (PBE-GGA) of a geometry-optimized Cr2PPb structure.

Distance to the lowest polymorph of the same formula = 0.4303 eV per atom
Calculated density = 7.98 Mg/m³
DOS at the Fermi energy = 5.810 states/eV/cell

Unit cell a=3.8483 b=3.8483 c=9.6096 alpha=90.00 beta=90.00 gamma=90.00
Fractional coordinates of all 8 atoms:
Cr: 0.0000 0.0000 0.0000
Cr: 0.0000 0.5000 0.2500
Cr: 0.5000 0.0000 0.7500
Cr: 0.5000 0.5000 0.5000
P: 0.0000 0.5000 0.7500
P: 0.5000 0.0000 0.2500
Pb: 0.0000 0.0000 0.5000
Pb: 0.5000 0.5000 0.0000

=====

The following is a DFT calculation (PBE-GGA) of a geometry-optimized CrP2Pb structure.

Electronic total energy = -0.194 Ha/atom
Calculated density = 6.93 Mg/m³
DOS at the Fermi energy = 11.054 states/eV/cell

Unit cell a=6.7521 b=6.7521 c=6.7521 alpha=90.00 beta=90.00 gamma=90.00
Fractional coordinates of all 16 atoms:
Cr: 0.0000 0.0000 0.0000
Cr: 0.0000 0.5000 0.5000
Cr: 0.5000 0.0000 0.5000
Cr: 0.5000 0.5000 0.0000
P: 0.0000 0.0000 0.5000
P: 0.0000 0.5000 0.0000
P: 0.2500 0.2500 0.2500
P: 0.2500 0.7500 0.7500
P: 0.5000 0.0000 0.0000
P: 0.5000 0.5000 0.5000
P: 0.7500 0.2500 0.7500
P: 0.7500 0.7500 0.2500
Pb: 0.2500 0.2500 0.7500
Pb: 0.2500 0.7500 0.2500
Pb: 0.7500 0.2500 0.2500
Pb: 0.7500 0.7500 0.7500

=====

The following is a DFT calculation (PBE-GGA) of a geometry-optimized CrPPb2 structure.

Electronic total energy = -0.197 Ha/atom
Calculated density = 8.58 Mg/m³
DOS at the Fermi energy = 5.939 states/eV/cell

Unit cell a=3.4737 b=4.4182 c=12.5374 alpha=90.00 beta=90.00 gamma=90.00
Fractional coordinates of all 8 atoms:
Cr: 0.0000 0.0000 0.0000
Cr: 0.5000 0.5000 0.5000
P: 0.0000 0.5000 0.6211
P: 0.5000 0.0000 0.1211
Pb: 0.0000 0.0000 0.4204
Pb: 0.0000 0.5000 0.2091
Pb: 0.5000 0.0000 0.7091
Pb: 0.5000 0.5000 0.9204

=====

The following is a DFT calculation (PBE-GGA) of a geometry-optimized CrP2Pb structure.

Electronic total energy = -0.203 Ha/atom
Calculated density = 6.95 Mg/m³
DOS at the Fermi energy = 3.359 states/eV/cell

Unit cell a=5.6456 b=7.4208 c=3.6644 alpha=90.00 beta=90.00 gamma=90.00
Fractional coordinates of all 8 atoms:
Cr: 0.0000 0.0000 0.0000
Cr: 0.5000 0.5000 0.0000
P: 0.2500 0.2500 0.5000
P: 0.2500 0.7500 0.5000
P: 0.7500 0.2500 0.5000
P: 0.7500 0.7500 0.5000
Pb: 0.0000 0.5000 0.0000
Pb: 0.5000 0.0000 0.0000

=====

The following is a DFT calculation (PBE-GGA) of a geometry-optimized CrP2Pb structure.

Electronic total energy = -0.221 Ha/atom
Calculated density = 7.20 Mg/m³
DOS at the Fermi energy = 11.028 states/eV/cell

Unit cell a=3.1308 b=3.1308 c=26.1816 alpha=90.00 beta=90.00 gamma=120.00
Fractional coordinates of all 12 atoms:
Cr: 0.0000 0.0000 0.0000
Cr: 0.3333 0.6667 0.6667
Cr: 0.6667 0.3333 0.3333
P: 0.0000 0.0000 0.2760
P: 0.0000 0.0000 0.7240
P: 0.3333 0.6667 0.3906
P: 0.3333 0.6667 0.9427
P: 0.6667 0.3333 0.0573
P: 0.6667 0.3333 0.6094
Pb: 0.0000 0.0000 0.5000
Pb: 0.3333 0.6667 0.1667
Pb: 0.6667 0.3333 0.8333

=====

The following is a DFT calculation (PBE-GGA) of a geometry-optimized CrPPb2 structure.

Electronic total energy = -0.187 Ha/atom
Calculated density = 8.28 Mg/m³
DOS at the Fermi energy = 7.712 states/eV/cell

Unit cell a=8.0097 b=8.0097 c=6.2199 alpha=90.00 beta=90.00 gamma=90.00
Fractional coordinates of all 16 atoms:
Cr: 0.0000 0.0000 0.0000
Cr: 0.0000 0.5000 0.2500
Cr: 0.5000 0.0000 0.7500
Cr: 0.5000 0.5000 0.5000
P: 0.0000 0.0000 0.5000
P: 0.0000 0.5000 0.7500
P: 0.5000 0.0000 0.2500
P: 0.5000 0.5000 0.0000
Pb: 0.2273 0.2500 0.6250
Pb: 0.2500 0.7273 0.8750
Pb: 0.2500 0.7727 0.3750
Pb: 0.2727 0.2500 0.1250
Pb: 0.7273 0.7500 0.1250
Pb: 0.7500 0.2273 0.3750
Pb: 0.7500 0.2727 0.8750
Pb: 0.7727 0.7500 0.6250

=====

The following is a DFT calculation (PBE-GGA) of a geometry-optimized CrP4Pb structure.

Electronic total energy = -0.190 Ha/atom
Calculated density = 5.76 Mg/m³
DOS at the Fermi energy = 3.326 states/eV/cell

Unit cell a=5.3860 b=5.3860 c=5.3860 alpha=60.00 beta=60.00 gamma=60.00
Fractional coordinates of all 6 atoms:
Cr: 0.0000 0.0000 0.0000
P: 0.0891 0.6370 0.6370
P: 0.6370 0.0891 0.6370
P: 0.6370 0.6370 0.0891
P: 0.6370 0.6370 0.6370
Pb: 0.2500 0.2500 0.2500

=====

The following is a DFT calculation (PBE-GGA) of a geometry-optimized CrPPb2 structure.

Electronic total energy = -0.199 Ha/atom
Calculated density = 8.99 Mg/m³
DOS at the Fermi energy = 2.424 states/eV/cell

Unit cell a=4.6839 b=3.6266 c=5.8642 alpha=90.00 beta=112.72 gamma=90.00
Fractional coordinates of all 4 atoms:
Cr: 0.0000 0.0000 0.0000
P: 0.8500 0.5000 0.7263
Pb: 0.2781 0.0000 0.5738
Pb: 0.5852 0.5000 0.1781

=====

The following is a DFT calculation (PBE-GGA) of a geometry-optimized Cr4PPb structure.

Electronic total energy = -0.269 Ha/atom
Calculated density = 8.67 Mg/m³
DOS at the Fermi energy = 7.638 states/eV/cell

Unit cell a=4.9442 b=4.9442 c=4.9442 alpha=60.00 beta=60.00 gamma=60.00
Fractional coordinates of all 6 atoms:
Cr: 0.1236 0.1236 0.1236
Cr: 0.1236 0.1236 0.6291
Cr: 0.1236 0.6291 0.1236
Cr: 0.6291 0.1236 0.1236
P: 0.7500 0.7500 0.7500
Pb: 0.5000 0.5000 0.5000

=====

The following is a DFT calculation (PBE-GGA) of a geometry-optimized CrP2Pb structure.

Electronic total energy = -0.220 Ha/atom
Calculated density = 7.00 Mg/m³
DOS at the Fermi energy = 5.826 states/eV/cell

Unit cell a=7.4972 b=3.1594 c=6.4733 alpha=90.00 beta=96.78 gamma=90.00
Fractional coordinates of all 8 atoms:
Cr: 0.0000 0.0000 0.0000
Cr: 0.5000 0.5000 0.0000
P: 0.2197 0.5000 0.1375
P: 0.2803 0.0000 0.8625
P: 0.7197 0.0000 0.1375
P: 0.7803 0.5000 0.8625
Pb: 0.0000 0.5000 0.5000
Pb: 0.5000 0.0000 0.5000

=====

The following is a DFT calculation (PBE-GGA) of a geometry-optimized Cr2PPb structure.

Distance to the lowest polymorph of the same formula = 0.3233 eV per atom
Calculated density = 7.83 Mg/m³
DOS at the Fermi energy = 7.841 states/eV/cell

Unit cell a=3.1378 b=3.1378 c=25.5454 alpha=90.00 beta=90.00 gamma=120.00
Fractional coordinates of all 12 atoms:
Cr: 0.0000 0.0000 0.0000
Cr: 0.0000 0.0000 0.2608
Cr: 0.3333 0.6667 0.6667
Cr: 0.3333 0.6667 0.9275
Cr: 0.6667 0.3333 0.3333
Cr: 0.6667 0.3333 0.5941
P: 0.0000 0.0000 0.7218
P: 0.3333 0.6667 0.3885
P: 0.6667 0.3333 0.0551
Pb: 0.0000 0.0000 0.4963
Pb: 0.3333 0.6667 0.1630
Pb: 0.6667 0.3333 0.8297

=====

The following is a DFT calculation (PBE-GGA) of a geometry-optimized CrP2Pb structure.

Electronic total energy = -0.205 Ha/atom
Calculated density = 6.85 Mg/m³
DOS at the Fermi energy = 5.097 states/eV/cell

Unit cell a=3.2238 b=5.3478 c=9.0374 alpha=90.00 beta=90.00 gamma=90.00
Fractional coordinates of all 8 atoms:
Cr: 0.0000 0.0000 0.0000
Cr: 0.5000 0.5000 0.5000
P: 0.0000 0.0000 0.4082
P: 0.0000 0.5000 0.7268
P: 0.5000 0.0000 0.2268
P: 0.5000 0.5000 0.9082
Pb: 0.0000 0.5000 0.2044
Pb: 0.5000 0.0000 0.7044

=====

The following is a DFT calculation (PBE-GGA) of a geometry-optimized CrP2Pb structure.

Electronic total energy = -0.203 Ha/atom
Calculated density = 6.78 Mg/m³
DOS at the Fermi energy = 5.051 states/eV/cell

Unit cell a=5.6292 b=7.5877 c=3.9108 alpha=90.00 beta=109.68 gamma=90.00
Fractional coordinates of all 8 atoms:
Cr: 0.0000 0.0000 0.0000
Cr: 0.5000 0.5000 0.0000
P: 0.2500 0.2500 0.5000
P: 0.2500 0.7500 0.5000
P: 0.7500 0.2500 0.5000
P: 0.7500 0.7500 0.5000
Pb: 0.0000 0.5000 0.0000
Pb: 0.5000 0.0000 0.0000

=====

The following is a DFT calculation (PBE-GGA) of a geometry-optimized Cr2PPb structure.

Distance to the lowest polymorph of the same formula = 0.1716 eV per atom
Calculated density = 8.81 Mg/m³
DOS at the Fermi energy = 4.404 states/eV/cell

Unit cell a=3.0118 b=3.0118 c=7.1060 alpha=90.00 beta=90.00 gamma=90.00
Fractional coordinates of all 4 atoms:
Cr: 0.0000 0.0000 0.1783
Cr: 0.0000 0.0000 0.8217
P: 0.5000 0.5000 0.0000
Pb: 0.5000 0.5000 0.5000

=====

The following is a DFT calculation (PBE-GGA) of a geometry-optimized Cr2PPb structure.

Distance to the lowest polymorph of the same formula = 0.5016 eV per atom
Calculated density = 7.69 Mg/m³
DOS at the Fermi energy = 3.453 states/eV/cell

Unit cell a=4.4914 b=4.4914 c=3.6610 alpha=90.00 beta=90.00 gamma=90.00
Fractional coordinates of all 4 atoms:
Cr: 0.0000 0.5000 0.0000
Cr: 0.5000 0.0000 0.0000
P: 0.0000 0.0000 0.5000
Pb: 0.5000 0.5000 0.5000

=====

The following is a DFT calculation (PBE-GGA) of a geometry-optimized Cr3PPb structure.

Distance to the lowest polymorph of the same formula = 0.0000 eV per atom
Calculated density = 6.83 Mg/m³
DOS at the Fermi energy = 11.392 states/eV/cell

Unit cell a=4.5753 b=4.5753 c=4.5753 alpha=90.00 beta=90.00 gamma=90.00
Fractional coordinates of all 5 atoms:
Cr: 0.0000 0.0000 0.5000
Cr: 0.0000 0.5000 0.0000
Cr: 0.5000 0.0000 0.0000
P: 0.0000 0.0000 0.0000
Pb: 0.5000 0.5000 0.5000

=====

The following is a DFT calculation (PBE-GGA) of a geometry-optimized Cr2PPb structure.

Distance to the lowest polymorph of the same formula = 0.1048 eV per atom
Calculated density = 8.33 Mg/m³
DOS at the Fermi energy = 3.537 states/eV/cell

Unit cell a=3.1917 b=3.1917 c=6.6923 alpha=90.00 beta=90.00 gamma=90.00
Fractional coordinates of all 4 atoms:
Cr: 0.0000 0.0000 0.0000
Cr: 0.5000 0.5000 0.2420
P: 0.0000 0.0000 0.3623
Pb: 0.5000 0.5000 0.7161

=====

The following is a DFT calculation (PBE-GGA) of a geometry-optimized Cr2PPb structure.

Distance to the lowest polymorph of the same formula = 0.0000 eV per atom
Calculated density = 7.87 Mg/m³
DOS at the Fermi energy = 5.051 states/eV/cell

Unit cell a=3.4911 b=3.4911 c=20.5161 alpha=90.00 beta=90.00 gamma=120.00
Fractional coordinates of all 12 atoms:
Cr: 0.0000 0.0000 0.2225
Cr: 0.0000 0.0000 0.7775
Cr: 0.3333 0.6667 0.4442
Cr: 0.3333 0.6667 0.8892
Cr: 0.6667 0.3333 0.1108
Cr: 0.6667 0.3333 0.5558
P: 0.0000 0.0000 0.5000
P: 0.3333 0.6667 0.1667
P: 0.6667 0.3333 0.8333
Pb: 0.0000 0.0000 0.0000
Pb: 0.3333 0.6667 0.6667
Pb: 0.6667 0.3333 0.3333